The following is a GGA+U calculation of a relaxed structure of Zn2CrSnO, from the Alexandria database.

Output
magnetic moment: 3.92 Bohr magnetons per cell
uncorrected energy: -4.0729 eV/atom

Cell: 4.5606 4.0331 4.5606 Å, 90.00 90.00 90.00°
Fractional coordinates of all 5 atoms:
Cr (0.0000, 0.5000, 0.0000)
Zn (0.0000, 0.0000, 0.5000)
Zn (0.5000, 0.0000, 0.0000)
Sn (0.5000, 0.5000, 0.5000)
O (0.0000, 0.0000, 0.0000)